AcDy12Ho5 | the Alexandria database | PBE | relaxed; energy of formation = 2.26 eV/f.u.; symmetry = No. 12
1.0
-4.481 6.800 -7.873
-9.904 2.863 -0.039
1.375 4.714 3.353
Ho Dy Ac
5 12 1
Direct
0.166 0.669 0.500 Ho
0.675 0.650 0.000 Ho
0.325 0.350 0.000 Ho
0.500 0.000 0.500 Ho
0.834 0.331 0.500 Ho
0.504 0.336 0.554 Dy
0.816 0.000 0.463 Dy
0.160 0.336 0.446 Dy
0.184 0.000 0.537 Dy
0.649 0.334 0.058 Dy
0.339 0.000 0.039 Dy
0.351 0.666 0.942 Dy
0.840 0.664 0.554 Dy
0.983 0.666 0.058 Dy
0.017 0.334 0.942 Dy
0.496 0.664 0.446 Dy
0.661 0.000 0.961 Dy
0.000 0.000 0.000 Ac

---

La8MgAl2 | the Alexandria database | PBE | relaxed; energy of formation = -1.28 eV/f.u.; symmetry = No. 12
1.0
-1.449 1.063 4.866
-8.041 2.821 -3.011
2.020 -8.929 -0.213
La Mg Al
8 1 2
Direct
0.000 0.665 0.999 La
0.847 0.848 0.695 La
0.153 0.152 0.305 La
0.657 0.441 0.314 La
0.343 0.128 0.687 La
0.343 0.559 0.686 La
0.000 0.335 0.001 La
0.657 0.872 0.313 La
0.500 0.000 0.000 Mg
0.800 0.300 0.600 Al
0.200 0.700 0.400 Al

---

TlVGaN2 | the Alexandria database | PBE | relaxed; ΔE_f (raw) = 2318 meV/atom; symmetry = No. 123
1.0
-2.717 -0.433 -3.134
0.565 -5.246 0.234
-3.132 -0.215 2.745
N Ga V Tl
2 1 1 1
Direct
0.000 0.000 0.500 N
0.500 0.000 0.000 N
0.000 0.500 0.000 Ga
0.500 0.500 0.500 V
0.000 0.000 0.000 Tl

---

Listing DOS(E_F) for the structures above in their given order: 2.06, 1.32, 0.96 states/eV per atom.
Listing raw total energy for the structures above in their given order: -79.96, -49.78, -19.57 eV for the cell shown.